DFT (GGA-PBE) results for a geometry-optimized Dy2C3 structure.

a b c (Å): 7.1166 7.1166 7.1166
angles (deg): 109.47 109.47 109.47
With the nearest neighbours (Å) after each atom.
Element x y z (fractional)
C 0.2500 0.2935 0.0435  1 C 1.34
C 0.2500 0.4565 0.2065  1 C 1.34
C 0.0435 0.7935 0.2500  1 C 1.34
C 0.2065 0.9565 0.2500  1 C 1.34
C 0.7500 0.0435 0.2935  1 C 1.34
C 0.7500 0.2065 0.4565  1 C 1.34
C 0.7935 0.7500 0.5435  1 C 1.34
C 0.9565 0.7500 0.7065  1 C 1.34
C 0.2935 0.5435 0.7500  1 C 1.34
C 0.4565 0.7065 0.7500  1 C 1.34
C 0.5435 0.2500 0.7935  1 C 1.34
C 0.7065 0.2500 0.9565  1 C 1.34
Dy 0.3989 0.0000 0.0000  6 C 2.51-2.62
Dy 0.8989 0.0000 0.0000  6 C 2.51-2.62
Dy 0.6011 0.6011 0.1011  6 C 2.51-2.62
Dy 0.0000 0.5000 0.3989  6 C 2.51-2.62
Dy 0.5000 0.3989 0.5000  6 C 2.51-2.62
Dy 0.5000 0.8989 0.5000  6 C 2.51-2.62
Dy 0.1011 0.1011 0.6011  6 C 2.51-2.62
Dy 0.0000 0.5000 0.8989  6 C 2.51-2.62

As for the total energy: -7.639 eV per atom.

=====

DFT (GGA-PBE) results for a geometry-optimized KDyHoCu2 structure.

a b c (Å): 3.7413 8.9125 8.9125
angles (deg): 28.10 90.00 90.00
With the nearest neighbours (Å) after each atom.
Element x y z (fractional)
Cu 0.5000 0.2055 0.2055  2 Cu 2.65, 2 Dy 2.86, 4 Ho 2.93
Cu 0.5000 0.7938 0.7938  2 Cu 2.65, 2 Ho 2.84, 4 Dy 2.93
Dy 0.0000 0.3303 0.3303  6 Cu 2.86-2.93
Ho 0.0000 0.6699 0.6699  6 Cu 2.84-2.93
K 0.5000 0.0004 0.0004  2 Cu 3.55-3.57, 2 K 3.74

As for the total energy: -3.550 eV per atom.

=====

DFT (GGA-PBE) results for a geometry-optimized LaPrBi4Pt2 structure.

a b c (Å): 4.7238 4.7238 9.7265
angles (deg): 90.00 90.00 90.00
With the nearest neighbours (Å) after each atom.
Element x y z (fractional)
Bi 0.5000 0.5000 0.1648  4 Pt 2.86
Bi 0.5000 0.0000 0.5022  4 Bi 3.34, 2 Pr 3.53, 2 La 3.56
Bi 0.0000 0.5000 0.5022  4 Bi 3.34, 2 Pr 3.53, 2 La 3.56
Bi 0.0000 0.0000 0.8323  4 Pt 2.87
La 0.0000 0.0000 0.2280  4 Pt 3.24, 8 Bi 3.40-3.56
Pr 0.5000 0.5000 0.7721  4 Pt 3.23, 8 Bi 3.39-3.53
Pt 0.5000 0.0000 0.9992  4 Bi 2.86-2.87
Pt 0.0000 0.5000 0.9992  4 Bi 2.86-2.87

As for the total energy: -5.430 eV per atom.